This record from Alexandria describes a relaxed PmTmCoSi crystal. The functional is PBE.

## Properties
Formation energy from raw total energies, eV per atom: -0.29
Fermi-level density of states, states/eV/f.u.: 2.07
SG: F-43m (216)

The structure in extended XYZ format:
```
16
Lattice="6.9379 0.0000 0.0000 0.0000 6.9379 0.0000 0.0000 0.0000 6.9379" Properties=species:S:1:pos:R:3 pbc="T T T"
Pm 0.0000 0.0000 0.0000
Pm 0.0000 3.4689 3.4689
Pm 3.4689 0.0000 3.4689
Pm 3.4689 3.4689 0.0000
Tm 0.0000 0.0000 3.4689
Tm 0.0000 3.4689 0.0000
Tm 3.4689 0.0000 0.0000
Tm 3.4689 3.4689 3.4689
Co 1.7345 1.7345 5.2034
Co 1.7345 5.2034 1.7345
Co 5.2034 1.7345 1.7345
Co 5.2034 5.2034 5.2034
Si 1.7345 1.7345 1.7345
Si 1.7345 5.2034 5.2034
Si 5.2034 1.7345 5.2034
Si 5.2034 5.2034 1.7345
```

=====

This record from Alexandria describes a relaxed PmYCoSi crystal. The functional is PBE.

## Properties
Formation energy from raw total energies, eV per atom: -0.28
Fermi-level density of states, states/eV/f.u.: 2.06
SG: F-43m (216)

The structure in extended XYZ format:
```
16
Lattice="7.0023 0.0000 0.0000 0.0000 7.0023 0.0000 0.0000 0.0000 7.0023" Properties=species:S:1:pos:R:3 pbc="T T T"
Pm 0.0000 0.0000 0.0000
Pm 0.0000 3.5012 3.5012
Pm 3.5012 0.0000 3.5012
Pm 3.5012 3.5012 0.0000
Y 0.0000 0.0000 3.5012
Y 0.0000 3.5012 0.0000
Y 3.5012 0.0000 0.0000
Y 3.5012 3.5012 3.5012
Co 1.7506 1.7506 5.2518
Co 1.7506 5.2518 1.7506
Co 5.2518 1.7506 1.7506
Co 5.2518 5.2518 5.2518
Si 1.7506 1.7506 1.7506
Si 1.7506 5.2518 5.2518
Si 5.2518 1.7506 5.2518
Si 5.2518 5.2518 1.7506
```

=====

This record from Alexandria describes a relaxed Pm3Sm4Co4 crystal. The functional is PBE.

## Properties
VASP energy, eV per atom: -5.577
Fermi-level density of states, states/eV/f.u.: 10.32
SG: Immm (71)

The structure in extended XYZ format:
```
11
Lattice="-1.8564 4.4942 7.8825 1.8564 -4.4942 7.8825 1.8564 4.4942 -7.8825" Properties=species:S:1:pos:R:3 pbc="T T T"
Pm 0.0000 0.0000 0.0000
Pm 1.8564 0.0000 6.2799
Pm 0.0000 4.4942 1.6026
Sm 1.8564 1.6686 -2.6066
Sm 1.8564 1.6686 2.6066
Sm 0.0000 2.8256 5.2760
Sm 0.0000 2.8256 10.4891
Co 0.0000 0.0000 3.9476
Co 1.8564 2.4837 0.0000
Co 0.0000 2.0105 7.8825
Co 0.0000 0.0000 11.8175
```

=====

This record from Alexandria describes a relaxed PmSm2Co6 crystal. The functional is PBE.

## Properties
VASP energy, eV per atom: -6.424
Fermi-level density of states, states/eV/f.u.: 7.16
SG: P6/mmm (191)

The structure in extended XYZ format:
```
9
Lattice="6.7228 0.0000 0.0000 -3.3614 5.8221 0.0000 0.0000 0.0000 4.1666" Properties=species:S:1:pos:R:3 pbc="T T T"
Pm 0.0000 0.0000 0.0000
Sm 0.0000 3.8814 0.0000
Sm 3.3614 1.9407 0.0000
Co -1.1215 1.9424 2.0833
Co -2.2400 3.8797 2.0833
Co 2.2429 0.0000 2.0833
Co 1.1215 1.9424 2.0833
Co 4.4799 0.0000 2.0833
Co 2.2400 3.8797 2.0833
```

=====

This record from Alexandria describes a relaxed Pm2SmCo crystal. The functional is PBE.

## Properties
VASP energy, eV per atom: -5.282
Fermi-level density of states, states/eV/f.u.: 4.51
SG: R-3m (166)

The structure in extended XYZ format:
```
12
Lattice="3.7851 0.0000 0.0000 -1.8925 3.2780 0.0000 0.0000 0.0000 28.2925" Properties=species:S:1:pos:R:3 pbc="T T T"
Pm 0.0000 0.0000 6.3361
Pm 0.0000 0.0000 21.9564
Pm 0.0000 2.1853 12.5256
Pm 0.0000 2.1853 25.1977
Pm 1.8925 1.0927 3.0948
Pm 1.8925 1.0927 15.7669
Sm 0.0000 0.0000 0.0000
Sm 0.0000 2.1853 18.8617
Sm 1.8925 1.0927 9.4308
Co 0.0000 0.0000 14.1463
Co 0.0000 2.1853 4.7154
Co 1.8925 1.0927 23.5771
```

=====

This record from Alexandria describes a relaxed PmSm4Co crystal. The functional is PBE.

## Properties
VASP energy, eV per atom: -4.804
Fermi-level density of states, states/eV/f.u.: 7.74
SG: P4/mmm (123)

The structure in extended XYZ format:
```
6
Lattice="4.7464 0.0000 0.0000 0.0000 4.7464 0.0000 0.0000 0.0000 9.0191" Properties=species:S:1:pos:R:3 pbc="T T T"
Pm 0.0000 0.0000 0.0000
Sm 0.0000 2.3732 2.8694
Sm 0.0000 2.3732 6.1497
Sm 2.3732 0.0000 2.8694
Sm 2.3732 0.0000 6.1497
Co 2.3732 2.3732 4.5096
```

=====

This record from Alexandria describes a relaxed Pm4Sm3Co4 crystal. The functional is PBE.

## Properties
VASP energy, eV per atom: -5.570
Fermi-level density of states, states/eV/f.u.: 10.35
SG: Immm (71)

The structure in extended XYZ format:
```
11
Lattice="-1.8539 4.4916 7.9109 1.8539 -4.4916 7.9109 1.8539 4.4916 -7.9109" Properties=species:S:1:pos:R:3 pbc="T T T"
Pm 1.8539 -2.8234 5.3050
Pm 0.0000 1.6681 2.6059
Pm 1.8539 2.8234 5.3050
Pm 0.0000 7.3150 2.6059
Sm 1.8539 0.0000 0.0000
Sm 0.0000 0.0000 6.3008
Sm 0.0000 0.0000 9.5210
Co 1.8539 0.0000 3.9798
Co 0.0000 2.5166 0.0000
Co 0.0000 6.4666 0.0000
Co 0.0000 4.4916 3.9311
```

=====

This record from Alexandria describes a relaxed PmSm2Co2 crystal. The functional is PBE.

## Properties
VASP energy, eV per atom: -5.740
Fermi-level density of states, states/eV/f.u.: 6.18
SG: Cmmm (65)

The structure in extended XYZ format:
```
10
Lattice="4.0052 0.0000 0.0000 0.0000 14.6351 0.0000 0.0000 0.0000 4.1078" Properties=species:S:1:pos:R:3 pbc="T T T"
Pm 0.0000 0.0000 0.0000
Pm 2.0026 7.3175 0.0000
Sm 0.0000 5.1503 2.0539
Sm 0.0000 9.4848 2.0539
Sm 2.0026 2.1673 2.0539
Sm 2.0026 12.4678 2.0539
Co 0.0000 3.0978 0.0000
Co 0.0000 11.5373 0.0000
Co 2.0026 4.2198 0.0000
Co 2.0026 10.4153 0.0000
```